A geometry-optimized K2MgTl6In structure, computed with PBE.

The structure in CIF format:
```
data_K2MgTl6In
_cell_length_a 6.687
_cell_length_b 7.818
_cell_length_c 8.022
_cell_angle_alpha 68.80
_cell_angle_beta 65.73
_cell_angle_gamma 65.47
_space_group_name_H-M_alt 'P -1'
_space_group_IT_number 2
_space_group_name_Hall '-P 1'
loop_
_atom_site_label
_atom_site_type_symbol
_atom_site_fract_x
_atom_site_fract_y
_atom_site_fract_z
K1 K 0.009 0.227 0.252
Mg1 Mg 0.500 0.500 0.000
Tl1 Tl 0.006 0.675 0.310
Tl2 Tl 0.320 0.935 0.930
Tl3 Tl 0.492 0.329 0.691
In1 In 0.500 0.000 0.500
```

Volume (A^3/atom): 33.85
Final energy (eV/atom): -2.072
Formation energy (eV/atom): 0.001